No. 1
# La3PmEr2P6

Crystalline La3PmEr2P6 at its relaxed geometry (GGA-PBE, Alexandria via LeMat-Bulk).

a b c (Å): 7.190 12.452 7.188
angles (deg): 90.00 109.47 90.00
Space group C2/m (No. 12)
Unique sites:
La 0.000 0.000 0.000 [2 per cell]
La 0.000 0.334 0.000 [4 per cell]
Pm 0.000 0.500 0.500 [2 per cell]
Er 0.000 0.167 0.500 [4 per cell]
P 0.240 0.000 0.737 [4 per cell]
P 0.248 0.331 0.737 [8 per cell]

Properties
* total energy: -159.9 eV per cell
* energy of formation from the pure elements: -1.5680 eV per atom


No. 2
# LiInW3

Crystalline LiInW3 at its relaxed geometry (GGA-PBE, Alexandria via LeMat-Bulk).

a b c (Å): 4.325 4.325 4.325
angles (deg): 90.00 90.00 90.00
Space group Pm-3m (No. 221)
Unique sites:
Li 0.000 0.000 0.000 [1 per cell]
In 0.500 0.500 0.500 [1 per cell]
W 0.000 0.000 0.500 [3 per cell]

Properties
* total energy: -36.3 eV per cell
* energy of formation from the pure elements: 1.4471 eV per atom
* offset from the most stable computed form: 0.000 eV/atom


No. 3
# Zn2SeF

Crystalline Zn2SeF at its relaxed geometry (GGA-PBE, Alexandria via LeMat-Bulk).

a b c (Å): 6.300 6.300 6.300
angles (deg): 90.00 90.00 90.00
Space group Fm-3m (No. 225)
Unique sites:
Zn 0.250 0.250 0.250 [8 per cell]
Se 0.000 0.000 0.000 [4 per cell]
F 0.000 0.000 0.500 [4 per cell]

Properties
* total energy: -42.0 eV per cell
* E_form (uncorrected): -0.649 eV/atom
* offset from the most stable computed form: 0.196 eV/atom


> Among the records above, which one has the lowest total energy?

La3PmEr2P6


> The highest total energy belongs to which entry?

LiInW3


Repeat the first record exactly.
# La3PmEr2P6

Crystalline La3PmEr2P6 at its relaxed geometry (GGA-PBE, Alexandria via LeMat-Bulk).

a b c (Å): 7.190 12.452 7.188
angles (deg): 90.00 109.47 90.00
Space group C2/m (No. 12)
Unique sites:
La 0.000 0.000 0.000 [2 per cell]
La 0.000 0.334 0.000 [4 per cell]
Pm 0.000 0.500 0.500 [2 per cell]
Er 0.000 0.167 0.500 [4 per cell]
P 0.240 0.000 0.737 [4 per cell]
P 0.248 0.331 0.737 [8 per cell]

Properties
* total energy: -159.9 eV per cell
* energy of formation from the pure elements: -1.5680 eV per atom


> Among the records above, which one has the highest total energy?

LiInW3